Below is a relaxed structure of NbCdMoO6, with properties calculated at the PBE with a Hubbard U level.

Fermi-level density of states in states/eV/atom: 0.01
Total DFT energy (no corrections) in eV/atom: -7.144

Unit cell a=4.9618 b=4.9618 c=9.4528 alpha=90.00 beta=90.00 gamma=90.00
Closest atoms and distances in Å follow each position.
Space group P4_2nm (No. 102)
One atom of each set of equivalent atoms:
Nb1 0.0000 0.0000 0.0000 x2  6 O 2.01-2.03
Cd1 0.0000 0.0000 0.6707 x2  6 O 2.27-2.38
Mo1 0.0000 0.0000 0.3421 x2  6 O 1.95-2.04
O1 0.1762 0.1762 0.1703 x4  1 Nb 2.03, 1 Mo 2.04, 1 Cd 2.27
O2 0.2127 0.2127 0.4746 x4  1 Mo 1.95, 1 Nb 2.03
O3 0.2135 0.2135 0.8588 x4  1 Nb 2.01, 1 Mo 2.02